The following is a PBE calculation of Pa2Al2O5 after structural relaxation, from OQMD.

## Properties
* calculated total energy: -0.5760 Ry per atom

Cell lengths 3.7694, 3.7694, 7.5780 Å; angles 90.00, 90.00, 90.00 degrees
With the nearest neighbours (Å) after each atom.
Space group P4/mmm (No. 123)
Inequivalent atoms, fractional coordinates:
Pa  0.0000  0.0000  0.0000 (multiplicity 1)  8 O 2.65
Pa  0.0000  0.0000  0.5000 (multiplicity 1)  12 O 2.67-2.70
Al  0.5000  0.5000  0.2438 (multiplicity 2)  5 O 1.88-1.94
O  0.0000  0.5000  0.2451 (multiplicity 4)  2 Al 1.88
O  0.5000  0.5000  0.5000 (multiplicity 1)  2 Al 1.94